[1]
{
  "formula": "Pm2Ag2O5",
  "functional": "PBE",
  "state": "optimized geometry",
  "lattice": [[4.137, 0.000, 0.000], [0.000, 4.137, 0.000], [0.000, 0.000, 7.106]],
  "species": ["Pm", "Pm", "Ag", "Ag", "O", "O", "O", "O", "O"],
  "frac_coords": [[0.000, 0.000, 0.000], [0.000, 0.000, 0.500], [0.500, 0.500, 0.194], [0.500, 0.500, 0.806], [0.000, 0.500, 0.217], [0.000, 0.500, 0.783], [0.500, 0.000, 0.217], [0.500, 0.000, 0.783], [0.500, 0.500, 0.500]],
  "crystal_system": "tetragonal",
  "total_magnetization_mub_per_atom": 0.000,
  "energy_ev_per_atom": -5.94
}

=====

[2]
{
  "formula": "Sr2SnHg2Ge",
  "functional": "PBE",
  "state": "optimized geometry",
  "lattice": [[4.894, 0.000, 0.000], [-2.447, 4.238, 0.000], [0.000, 0.000, 8.206]],
  "species": ["Sr", "Sr", "Sn", "Hg", "Hg", "Ge"],
  "frac_coords": [[0.000, 0.000, 0.000], [0.000, 0.000, 0.484], [0.667, 0.333, 0.705], [0.333, 0.667, 0.788], [0.667, 0.333, 0.275], [0.333, 0.667, 0.198]],
  "crystal_system": "trigonal",
  "energy_ev_per_atom": -2.61
}

=====

[3]
{
  "formula": "Ba2SbAu",
  "functional": "PBE",
  "state": "optimized geometry",
  "lattice": [[0.000, 4.041, 4.041], [4.041, 0.000, 4.041], [4.041, 4.041, 0.000]],
  "species": ["Ba", "Ba", "Sb", "Au"],
  "frac_coords": [[0.000, 0.000, 0.000], [0.250, 0.250, 0.250], [0.500, 0.500, 0.500], [0.750, 0.750, 0.750]],
  "crystal_system": "cubic",
  "energy_ev_per_atom": -3.26
}

=====

[4]
{
  "formula": "Ho2TmTl3AgPt2",
  "functional": "PBE",
  "state": "optimized geometry",
  "lattice": [[3.734, 0.000, 0.000], [0.000, 6.846, 3.961], [0.000, -6.846, 3.961]],
  "species": ["Ho", "Ho", "Tm", "Tl", "Tl", "Tl", "Ag", "Pt", "Pt"],
  "frac_coords": [[0.000, 0.205, 0.795], [0.000, 0.795, 0.205], [0.000, 0.615, 0.615], [0.500, 0.205, 0.476], [0.500, 0.476, 0.205], [0.500, 0.933, 0.933], [0.000, 0.205, 0.205], [0.500, 0.539, 0.870], [0.500, 0.870, 0.539]],
  "crystal_system": "orthorhombic",
  "total_magnetization_mub_per_atom": 0.004,
  "energy_ev_per_atom": -4.61
}